The following is a DFT calculation (PBE) of a geometry-optimized GdPaCo structure.

Calculated values
spin magnetization	7.16	μB per formula unit
distance to the lowest polymorph of the same formula	0.1933	eV per atom

Cell lengths 4.198, 4.198, 4.714 Å; angles 90.00, 90.00, 120.00 degrees
Sites, in units of the cell vectors:
Gd1 0.000 0.000 0.000
Pa1 0.667 0.333 0.500
Co1 0.333 0.667 0.500